## LiEuCu (GGA-PBE)

Data for a relaxed structure of LiEuCu.

The calculation puts the calculated density at 5.62 g/cm3. The relative energy among the computed polymorphs comes out at 0.024 eV/atom. For the total magnetization, the calculation gives 14.4 μB per cell. The volume comes out at 131.4 Å³/cell. The formation energy comes out at 0.02 eV per atom.

It has space group I4mm (No. 107), with a = 3.536 Å, b = 3.536 Å, c = 10.511 Å, α = 90.00°, β = 90.00° and γ = 90.00°. The asymmetric unit holds Li at (0.000, 0.000, 0.000), Eu at (0.000, 0.000, 0.283) and Cu at (0.000, 0.000, 0.601).



## Na2Ag2Au (GGA-PBE)

Data for a relaxed structure of Na2Ag2Au.

The calculation puts the calculated density at 6.99 g/cm3. The relative energy among the computed polymorphs comes out at 0.210 eV/atom. For the total magnetization, the calculation gives 0.0 μB per cell. The volume comes out at 218.1 Å³/cell. The formation energy comes out at 0.10 eV per atom.

It has space group P4/mbm (No. 127), with a = 8.722 Å, b = 8.722 Å, c = 2.867 Å, α = 90.00°, β = 90.00° and γ = 90.00°. The asymmetric unit holds Na at (0.183, 0.317, 0.000), Ag at (0.114, 0.614, 0.500) and Au at (0.000, 0.000, 0.000).



## BaNb2Hg2 (GGA-PBE)

Data for a relaxed structure of BaNb2Hg2.

The calculation puts the calculated density at 8.96 g/cm3. For the total magnetization, the calculation gives 0.0 μB per cell. The volume comes out at 268.4 Å³/cell. The formation energy comes out at 0.25 eV per atom.

It has space group I4/mmm (No. 139), with a = 3.868 Å, b = 3.868 Å, c = 17.935 Å, α = 90.00°, β = 90.00° and γ = 90.00°. The asymmetric unit holds Ba at (0.000, 0.000, 0.000), Nb at (0.000, 0.500, 0.250) and Hg at (0.000, 0.000, 0.380).



## LaTl3Rh (GGA-PBE)

Data for a relaxed structure of LaTl3Rh.

The calculation puts the calculated density at 9.97 g/cm3. The relative energy among the computed polymorphs comes out at 0.000 eV/atom. For the total magnetization, the calculation gives 0.0 μB per cell. The volume comes out at 142.4 Å³/cell. The formation energy comes out at -0.05 eV per atom.

It has space group Pm-3m (No. 221), with a = 5.222 Å, b = 5.222 Å, c = 5.222 Å, α = 90.00°, β = 90.00° and γ = 90.00°. The asymmetric unit holds La at (0.000, 0.000, 0.000), Tl at (0.000, 0.500, 0.500) and Rh at (0.500, 0.500, 0.500).



## Ba12Si3H5 (GGA-PBE)

Data for a relaxed structure of Ba12Si3H5.

The calculation puts the calculated density at 4.02 g/cm3. For the total magnetization, the calculation gives 46.0 μB per cell. The uncorrected energy comes out at -3.0565 eV per atom. The volume comes out at 5738.8 Å³/cell.

It has space group Ia-3d (No. 230), with a = 17.904 Å, b = 17.904 Å, c = 17.904 Å, α = 90.00°, β = 90.00° and γ = 90.00°. The asymmetric unit holds Ba at (0.031, 0.061, 0.656), Si at (0.000, 0.250, 0.125), H at (0.000, 0.000, 0.000) and H at (0.000, 0.250, 0.375).



## Sc2ZnCr2 (GGA-PBE)

Data for a relaxed structure of Sc2ZnCr2.

The calculation puts the calculated density at 4.18 g/cm3. The relative energy among the computed polymorphs comes out at 0.677 eV/atom. For the total magnetization, the calculation gives 13.3 μB per cell. The volume comes out at 206.1 Å³/cell. The formation energy comes out at 0.82 eV per atom.

It has space group I4/mmm (No. 139), with a = 4.054 Å, b = 4.054 Å, c = 12.539 Å, α = 90.00°, β = 90.00° and γ = 90.00°. The asymmetric unit holds Sc at (0.000, 0.500, 0.250), Zn at (0.000, 0.000, 0.000) and Cr at (0.000, 0.000, 0.404).



## Sm5Tl4O (GGA-PBE)

Data for a relaxed structure of Sm5Tl4O.

The calculation puts the calculated density at 9.65 g/cm3. Its formation energy (no corrections) is -685.0 meV/atom. For the total magnetization, the calculation gives 0.0 μB per cell. The volume comes out at 545.7 Å³/cell.

It has space group I4 (No. 79), with a = 9.677 Å, b = 9.677 Å, c = 5.827 Å, α = 90.00°, β = 90.00° and γ = 90.00°. The asymmetric unit holds Sm at (0.000, 0.000, 0.000), Sm at (0.126, 0.781, 0.512), Tl at (0.044, 0.660, 0.012) and O at (0.000, 0.000, 0.532).



## FeHg2Sb (GGA-PBE)

Data for a relaxed structure of FeHg2Sb.

The calculation puts the calculated density at 10.82 g/cm3. Its formation energy (no corrections) is 431.5 meV/atom. For the total magnetization, the calculation gives 5.9 μB per cell. The volume comes out at 177.6 Å³/cell.

It has space group C2/m (No. 12), with a = 5.669 Å, b = 11.042 Å, c = 3.466 Å, α = 90.00°, β = 125.05° and γ = 90.00°. The asymmetric unit holds Fe at (0.000, 0.000, 0.000), Hg at (0.250, 0.250, 0.000) and Sb at (0.000, 0.500, 0.000).



## Dy2BeO (GGA-PBE)

Data for a relaxed structure of Dy2BeO.

The calculation puts the calculated density at 6.84 g/cm3. Its formation energy (no corrections) is -659.2 meV/atom. For the total magnetization, the calculation gives 0.0 μB per cell. The volume comes out at 255.1 Å³/cell.

It has space group R-3m (No. 166, hexagonal axes), with a = 3.4317 Å, b = 3.4317 Å, c = 25.0097 Å, α = 90.00°, β = 90.00° and γ = 120.00°. The asymmetric unit holds Dy at (0.0000, 0.0000, 0.1132), Be at (0.0000, 0.0000, 0.0000) and O at (0.0000, 0.0000, 0.5000).



## Zn2Cd2Mo (GGA-PBE)

Data for a relaxed structure of Zn2Cd2Mo.

The calculation puts the calculated density at 8.71 g/cm3. The relative energy among the computed polymorphs comes out at 0.000 eV/atom. For the total magnetization, the calculation gives 0.0 μB per cell. The volume comes out at 172.1 Å³/cell. The formation energy comes out at 0.38 eV per atom.

It has space group P4/mbm (No. 127), with a = 7.599 Å, b = 7.599 Å, c = 2.981 Å, α = 90.00°, β = 90.00° and γ = 90.00°. The asymmetric unit holds Zn at (0.123, 0.377, 0.000), Cd at (0.178, 0.678, 0.500) and Mo at (0.000, 0.000, 0.000).



## TlCu2I (GGA-PBE)

Data for a relaxed structure of TlCu2I.

The calculation puts the calculated density at 7.68 g/cm3. The relative energy among the computed polymorphs comes out at 0.000 eV/atom. Its formation energy (no corrections) is 354.6 meV/atom. For the total magnetization, the calculation gives 0.0 μB per cell. The volume comes out at 396.4 Å³/cell.

It has space group I-42d (No. 122), with a = 6.674 Å, b = 6.674 Å, c = 8.901 Å, α = 90.00°, β = 90.00° and γ = 90.00°. The asymmetric unit holds Tl at (0.000, 0.000, 0.000), Cu at (0.243, 0.250, 0.625) and I at (0.000, 0.000, 0.500).



## ScNiIrRh2 (GGA-PBE)

Data for a relaxed structure of ScNiIrRh2.

The calculation puts the calculated density at 8.55 g/cm3. For the total magnetization, the calculation gives 0.0 μB per cell. The volume comes out at 97.5 Å³/cell. The formation energy comes out at 1.36 eV per atom.

It has space group P4/mmm (No. 123), with a = 4.558 Å, b = 4.558 Å, c = 4.692 Å, α = 90.00°, β = 90.00° and γ = 90.00°. The asymmetric unit holds Sc at (0.000, 0.000, 0.000), Ni at (0.500, 0.500, 0.500), Ir at (0.000, 0.000, 0.500) and Rh at (0.000, 0.500, 0.000).



## Nd3DyCd8 (GGA-PBE)

Data for a relaxed structure of Nd3DyCd8.

The calculation puts the calculated density at 8.20 g/cm3. For the total magnetization, the calculation gives 0.0 μB per cell. The volume comes out at 908.4 Å³/cell. The formation energy comes out at -0.29 eV per atom.

It has space group R3m (No. 160, hexagonal axes), with a = 5.9930 Å, b = 5.9930 Å, c = 29.2042 Å, α = 90.00°, β = 90.00° and γ = 120.00°. The asymmetric unit holds Nd at (0.0000, 0.0000, 0.0000), Nd at (0.0000, 0.0000, 0.1246), Nd at (0.0000, 0.0000, 0.6243), Dy at (0.0000, 0.0000, 0.5002), Cd at (0.0000, 0.0000, 0.3123), Cd at (0.0000, 0.0000, 0.8122), Cd at (0.0010, 0.5005, 0.0629) and Cd at (0.1671, 0.3341, 0.8950).



## Hf5TaGe3 (GGA-PBE)

Data for a relaxed structure of Hf5TaGe3.

The calculation puts the calculated density at 10.89 g/cm3. For the total magnetization, the calculation gives 0.0 μB per cell. The volume comes out at 787.4 Å³/cell. The formation energy comes out at 0.03 eV per atom.

It has space group C2/m (No. 12), with a = 10.024 Å, b = 8.206 Å, c = 9.780 Å, α = 90.00°, β = 101.81° and γ = 90.00°. The asymmetric unit holds Hf at (0.000, 0.180, 0.000), Hf at (0.033, 0.000, 0.324), Hf at (0.178, 0.293, 0.646), Hf at (0.228, 0.000, 0.862), Ta at (0.034, 0.500, 0.257), Ge at (0.000, 0.500, 0.000), Ge at (0.000, 0.500, 0.500), Ge at (0.222, 0.000, 0.141) and Ge at (0.227, 0.000, 0.558).



## NdSiPd (GGA-PBE)

Data for a relaxed structure of NdSiPd.

The calculation puts the calculated density at 7.14 g/cm3. Its formation energy (no corrections) is -897.1 meV/atom. For the total magnetization, the calculation gives 0.0 μB per cell. The volume comes out at 194.5 Å³/cell.

It has space group P-6m2 (No. 187), with a = 4.2272 Å, b = 4.2272 Å, c = 12.5658 Å, α = 90.00°, β = 90.00° and γ = 120.00°. The asymmetric unit holds Nd at (0.0000, 0.0000, 0.0000), Nd at (0.0000, 0.0000, 0.3343), Si at (0.3333, 0.6667, 0.5000), Si at (0.6667, 0.3333, 0.1655), Pd at (0.3333, 0.6667, 0.1687) and Pd at (0.6667, 0.3333, 0.5000).



## FeNi (GGA-PBE)

Data for a relaxed structure of FeNi.

The calculation puts the calculated density at 7.10 g/cm3. For the total magnetization, the calculation gives 7.4 μB per cell. The volume comes out at 53.6 Å³/cell. The formation energy comes out at 0.45 eV per atom.

It has space group P6_3/mmc (No. 194), with a = 3.5927 Å, b = 3.5927 Å, c = 4.7911 Å, α = 90.00°, β = 90.00° and γ = 120.00°. The asymmetric unit holds Fe at (0.3333, 0.6667, 0.2500) and Ni at (0.0000, 0.0000, 0.0000).



## BaHoCuTe3 (GGA-PBE)

Data for a relaxed structure of BaHoCuTe3.

The calculation puts the calculated density at 6.26 g/cm3. Its formation energy (no corrections) is -1223.5 meV/atom. For the total magnetization, the calculation gives 0.0 μB per cell. The volume comes out at 396.9 Å³/cell.

It has space group P2_1/m (No. 11), with a = 9.402 Å, b = 4.426 Å, c = 9.893 Å, α = 90.00°, β = 105.38° and γ = 90.00°. The asymmetric unit holds Ba at (0.191, 0.250, 0.248), Ho at (0.325, 0.750, 0.842), Cu at (0.076, 0.250, 0.582), Te at (0.107, 0.250, 0.864), Te at (0.218, 0.750, 0.525) and Te at (0.448, 0.750, 0.167).



## Ce2YW2C4 (GGA-PBE)

Data for a relaxed structure of Ce2YW2C4.

The calculation puts the calculated density at 9.16 g/cm3. For the total magnetization, the calculation gives 0.0 μB per cell. The volume comes out at 284.7 Å³/cell. The formation energy comes out at -0.03 eV per atom.

It has space group C2/m (No. 12), with a = 14.346 Å, b = 3.456 Å, c = 5.952 Å, α = 90.00°, β = 105.33° and γ = 90.00°. The asymmetric unit holds Ce at (0.130, 0.000, 0.031), Y at (0.000, 0.000, 0.500), W at (0.179, 0.500, 0.521), C at (0.056, 0.500, 0.263) and C at (0.229, 0.000, 0.721).



## K3La2HfSe6 (GGA-PBE)

Data for a relaxed structure of K3La2HfSe6.

The calculation puts the calculated density at 4.79 g/cm3. Its formation energy (no corrections) is -1609.7 meV/atom. For the total magnetization, the calculation gives 0.0 μB per cell. The volume comes out at 725.6 Å³/cell.

It has space group C2/m (No. 12), with a = 7.372 Å, b = 12.773 Å, c = 8.094 Å, α = 90.00°, β = 107.85° and γ = 90.00°. The asymmetric unit holds K at (0.000, 0.000, 0.000), K at (0.000, 0.329, 0.000), La at (0.000, 0.166, 0.500), Hf at (0.000, 0.500, 0.500), Se at (0.222, 0.347, 0.708) and Se at (0.235, 0.500, 0.292).



## CaPu2Cl6 (GGA-PBE)

Data for a relaxed structure of CaPu2Cl6.

The calculation puts the calculated density at 4.36 g/cm3. The relative energy among the computed polymorphs comes out at 0.000 eV/atom. Its formation energy (no corrections) is -1948.6 meV/atom. For the total magnetization, the calculation gives 24.0 μB per cell. The volume comes out at 563.8 Å³/cell.

It has space group C2/m (No. 12), with a = 17.544 Å, b = 4.085 Å, c = 7.988 Å, α = 90.00°, β = 100.03° and γ = 90.00°. The asymmetric unit holds Ca at (0.000, 0.000, 0.000), Pu at (0.180, 0.500, 0.326), Cl at (0.012, 0.500, 0.234), Cl at (0.161, 0.000, 0.073) and Cl at (0.161, 0.000, 0.560).